# MoPbF3

A relaxed MoPbF3 crystal (PBE+U, the Alexandria database).

## Properties
M_tot ... 5.0 μB/cell
Final energy ... -4.6301 eV per atom
Polymorph energy (0 for the lowest one) ... 183 meV per atom
Symmetry ... Pm-3m (221)

```
5
Lattice="4.7945 0.0000 0.0000 0.0000 4.7945 0.0000 0.0000 0.0000 4.7945" Properties=species:S:1:pos:R:3 pbc="T T T"
Mo 2.3973 2.3973 2.3973
F 2.3973 0.0000 0.0000
F 0.0000 0.0000 2.3973
F 0.0000 2.3973 0.0000
Pb 0.0000 0.0000 0.0000
```